TlCr3C4O12 | PBE with a Hubbard U | optimized geometry

Summary:
Its crystal system is trigonal. The calculation puts the uncorrected energy at -450.240 eV per cell. The density of states at the Fermi level is 8.95 states/eV per cell.

Cell: 9.6935 9.6935 8.6236 Å, 90.00 90.00 120.00°
Space group R32 (No. 155, hexagonal axes)
Asymmetric unit:
Tl: 0.0000 0.0000 0.0000 (multiplicity 3)
Cr: 0.0000 0.5436 0.0000 (multiplicity 9)
C: 0.0000 0.0000 0.5000 (multiplicity 3)
C: 0.0000 0.4574 0.5000 (multiplicity 9)
O: 0.9999 0.2076 0.2152 (multiplicity 18)
O: 0.0000 0.5950 0.5000 (multiplicity 9)
O: 0.0000 0.8657 0.5000 (multiplicity 9)